No. 1
{
  "formula": "Sr2CrWO6",
  "functional": "GGA+U",
  "state": "relaxed",
  "lattice": [[-2.856, 2.856, 3.937], [2.856, -2.856, 3.937], [2.856, 2.856, -3.937]],
  "species": ["Sr", "Sr", "Cr", "W", "O", "O", "O", "O", "O", "O"],
  "frac_coords": [[0.250, 0.750, 0.500], [0.750, 0.250, 0.500], [0.000, 0.000, 0.000], [0.500, 0.500, 0.000], [0.249, 0.249, 0.497], [0.249, 0.751, 0.000], [0.254, 0.254, 0.000], [0.746, 0.746, 0.000], [0.751, 0.249, 0.000], [0.751, 0.751, 0.503]],
  "polymorph_energy_kj_per_mol_atoms": 1.2,
  "magmom_total_mub_per_cell": 4.0,
  "final_energy_ev_per_atom": -7.254,
  "space_group": "I4/mmm, No. 139"
}


No. 2
{
  "formula": "Sr2CrWO6",
  "functional": "GGA+U",
  "state": "relaxed",
  "lattice": [[5.649, 0.000, 0.000], [0.000, 5.636, 0.000], [-5.646, 0.000, 8.028]],
  "species": ["Sr", "Sr", "Sr", "Sr", "Cr", "Cr", "W", "W", "O", "O", "O", "O", "O", "O", "O", "O", "O", "O", "O", "O"],
  "frac_coords": [[0.247, 0.013, 0.250], [0.247, 0.487, 0.750], [0.753, 0.513, 0.250], [0.753, 0.987, 0.750], [0.500, 0.000, 0.000], [0.500, 0.500, 0.500], [0.000, 0.000, 0.500], [0.000, 0.500, 0.000], [0.200, 0.232, 0.966], [0.200, 0.268, 0.466], [0.232, 0.730, 0.973], [0.232, 0.770, 0.473], [0.308, 0.011, 0.751], [0.308, 0.489, 0.251], [0.692, 0.511, 0.749], [0.692, 0.989, 0.249], [0.768, 0.230, 0.527], [0.768, 0.270, 0.027], [0.800, 0.732, 0.534], [0.800, 0.768, 0.034]],
  "polymorph_energy_kj_per_mol_atoms": 0.0,
  "magmom_total_mub_per_cell": 8.0,
  "final_energy_ev_per_atom": -7.267,
  "space_group": "P2_1/c, No. 14"
}


No. 3
{
  "formula": "SrCrW2O8",
  "functional": "GGA+U",
  "state": "relaxed",
  "lattice": [[-3.704, 3.704, 3.460], [3.704, -3.704, 3.460], [3.704, 3.704, -3.460]],
  "species": ["Sr", "Cr", "W", "W", "O", "O", "O", "O", "O", "O", "O", "O"],
  "frac_coords": [[0.000, 0.000, 0.000], [0.250, 0.750, 0.500], [0.500, 0.500, 0.000], [0.750, 0.250, 0.500], [0.342, 0.144, 0.801], [0.342, 0.541, 0.199], [0.397, 0.087, 0.310], [0.459, 0.658, 0.801], [0.777, 0.087, 0.690], [0.856, 0.658, 0.199], [0.913, 0.223, 0.310], [0.913, 0.603, 0.690]],
  "magmom_total_mub_per_cell": 4.0,
  "final_energy_ev_per_atom": -7.312,
  "space_group": "I-4m2, No. 119"
}


No. 4
{
  "formula": "Sr2YCrO6",
  "functional": "GGA+U",
  "state": "relaxed",
  "lattice": [[0.000, 4.092, 4.092], [4.092, 0.000, 4.092], [4.092, 4.092, 0.000]],
  "species": ["Sr", "Sr", "Y", "Cr", "O", "O", "O", "O", "O", "O"],
  "frac_coords": [[0.250, 0.250, 0.250], [0.750, 0.750, 0.750], [0.000, 0.000, 0.000], [0.500, 0.500, 0.500], [0.269, 0.269, 0.731], [0.269, 0.731, 0.269], [0.269, 0.731, 0.731], [0.731, 0.269, 0.269], [0.731, 0.269, 0.731], [0.731, 0.731, 0.269]],
  "magmom_total_mub_per_cell": 1.0,
  "final_energy_ev_per_atom": -7.167,
  "space_group": "Fm-3m, No. 225"
}


No. 5
{
  "formula": "SrZn3Cr4O12",
  "functional": "GGA+U",
  "state": "relaxed",
  "lattice": [[-3.730, 3.730, 3.730], [3.730, -3.730, 3.730], [3.730, 3.730, -3.730]],
  "species": ["Sr", "Zn", "Zn", "Zn", "Cr", "Cr", "Cr", "Cr", "O", "O", "O", "O", "O", "O", "O", "O", "O", "O", "O", "O"],
  "frac_coords": [[0.000, 0.000, 0.000], [0.000, 0.500, 0.500], [0.500, 0.000, 0.500], [0.500, 0.500, 0.000], [0.000, 0.000, 0.500], [0.000, 0.500, 0.000], [0.500, 0.000, 0.000], [0.500, 0.500, 0.500], [0.114, 0.812, 0.302], [0.188, 0.302, 0.489], [0.188, 0.698, 0.886], [0.302, 0.114, 0.812], [0.302, 0.489, 0.188], [0.489, 0.188, 0.302], [0.511, 0.812, 0.698], [0.698, 0.511, 0.812], [0.698, 0.886, 0.188], [0.812, 0.302, 0.114], [0.812, 0.698, 0.511], [0.886, 0.188, 0.698]],
  "magmom_total_mub_per_cell": 8.0,
  "final_energy_ev_per_atom": -6.374,
  "space_group": "Im-3, No. 204"
}


No. 6
{
  "formula": "Sr3ZnCr3O8",
  "functional": "GGA+U",
  "state": "relaxed",
  "lattice": [[5.704, -3.164, 0.000], [5.704, 3.164, 0.000], [-3.662, 0.000, 5.521]],
  "species": ["Sr", "Sr", "Sr", "Zn", "Cr", "Cr", "Cr", "O", "O", "O", "O", "O", "O", "O", "O"],
  "frac_coords": [[0.000, 0.000, 0.000], [0.000, 0.500, 0.000], [0.500, 0.000, 0.000], [0.000, 0.000, 0.500], [0.000, 0.500, 0.500], [0.500, 0.000, 0.500], [0.500, 0.500, 0.500], [0.225, 0.722, 0.688], [0.242, 0.242, 0.702], [0.248, 0.248, 0.289], [0.278, 0.775, 0.312], [0.722, 0.225, 0.688], [0.752, 0.752, 0.711], [0.758, 0.758, 0.298], [0.775, 0.278, 0.312]],
  "magmom_total_mub_per_cell": 10.0,
  "final_energy_ev_per_atom": -6.562,
  "space_group": "C2/m, No. 12"
}


No. 7
{
  "formula": "SrZnCrO4",
  "functional": "GGA+U",
  "state": "relaxed",
  "lattice": [[-2.765, 2.765, 3.466], [2.765, -2.765, 3.466], [2.765, 2.765, -3.466]],
  "species": ["Sr", "Zn", "Cr", "O", "O", "O", "O"],
  "frac_coords": [[0.000, 0.000, 0.000], [0.250, 0.750, 0.500], [0.500, 0.500, 0.000], [0.188, 0.570, 0.048], [0.430, 0.479, 0.619], [0.521, 0.140, 0.952], [0.860, 0.812, 0.381]],
  "magmom_total_mub_per_cell": 2.0,
  "final_energy_ev_per_atom": -6.220,
  "space_group": "I-4, No. 82"
}


No. 8
{
  "formula": "SrZrCr2O8",
  "functional": "GGA+U",
  "state": "relaxed",
  "lattice": [[-3.571, 3.571, 3.209], [3.571, -3.571, 3.209], [3.571, 3.571, -3.209]],
  "species": ["Sr", "Zr", "Cr", "Cr", "O", "O", "O", "O", "O", "O", "O", "O"],
  "frac_coords": [[0.000, 0.000, 0.000], [0.750, 0.250, 0.500], [0.250, 0.750, 0.500], [0.500, 0.500, 0.000], [0.081, 0.406, 0.325], [0.081, 0.756, 0.675], [0.127, 0.335, 0.792], [0.244, 0.919, 0.325], [0.544, 0.335, 0.208], [0.594, 0.919, 0.675], [0.665, 0.456, 0.792], [0.665, 0.873, 0.208]],
  "magmom_total_mub_per_cell": 2.0,
  "final_energy_ev_per_atom": -7.469,
  "space_group": "I-4m2, No. 119"
}


No. 9
{
  "formula": "TaCr2O",
  "functional": "GGA+U",
  "state": "relaxed",
  "lattice": [[-2.922, 2.922, 3.958], [2.922, -2.922, 3.958], [2.922, 2.922, -3.958]],
  "species": ["Ta", "Ta", "Cr", "Cr", "Cr", "Cr", "O", "O"],
  "frac_coords": [[0.000, 0.000, 0.000], [0.750, 0.250, 0.500], [0.252, 0.625, 0.127], [0.375, 0.502, 0.627], [0.498, 0.125, 0.873], [0.875, 0.748, 0.373], [0.250, 0.750, 0.500], [0.500, 0.500, 0.000]],
  "magmom_total_mub_per_cell": 10.8,
  "final_energy_ev_per_atom": -7.726,
  "space_group": "I-42d, No. 122"
}


No. 10
{
  "formula": "TaCr3O",
  "functional": "GGA+U",
  "state": "relaxed",
  "lattice": [[4.912, 0.000, 0.000], [0.000, 4.912, 0.000], [0.000, 0.000, 4.912]],
  "species": ["Ta", "Cr", "Cr", "Cr", "O"],
  "frac_coords": [[0.000, 0.000, 0.000], [0.000, 0.000, 0.500], [0.000, 0.500, 0.000], [0.500, 0.000, 0.000], [0.500, 0.500, 0.500]],
  "polymorph_energy_kj_per_mol_atoms": 184.4,
  "magmom_total_mub_per_cell": 10.3,
  "final_energy_ev_per_atom": -5.804,
  "space_group": "Pm-3m, No. 221"
}


No. 11
{
  "formula": "TaCrO4",
  "functional": "GGA+U",
  "state": "relaxed",
  "lattice": [[-3.336, 3.336, 3.056], [3.336, -3.336, 3.056], [3.336, 3.336, -3.056]],
  "species": ["Ta", "Ta", "Cr", "Cr", "O", "O", "O", "O", "O", "O", "O", "O"],
  "frac_coords": [[0.000, 0.000, 0.000], [0.750, 0.250, 0.500], [0.240, 0.740, 0.500], [0.490, 0.490, 0.000], [0.180, 0.483, 0.697], [0.233, 0.036, 0.803], [0.233, 0.430, 0.197], [0.297, 0.993, 0.304], [0.688, 0.993, 0.696], [0.743, 0.547, 0.804], [0.743, 0.938, 0.196], [0.786, 0.483, 0.303]],
  "magmom_total_mub_per_cell": 6.0,
  "final_energy_ev_per_atom": -9.022,
  "space_group": "I4_1md, No. 109"
}


No. 12
{
  "formula": "TaCrO2",
  "functional": "GGA+U",
  "state": "relaxed",
  "lattice": [[0.000, 2.752, 2.752], [2.752, 0.000, 2.752], [2.752, 2.752, 0.000]],
  "species": ["Ta", "Cr", "O", "O"],
  "frac_coords": [[0.000, 0.000, 0.000], [0.500, 0.500, 0.500], [0.250, 0.250, 0.250], [0.750, 0.750, 0.750]],
  "polymorph_energy_kj_per_mol_atoms": 64.2,
  "magmom_total_mub_per_cell": 3.0,
  "final_energy_ev_per_atom": -8.165,
  "space_group": "Fm-3m, No. 225"
}